(1)
# RbZnGe

Crystalline RbZnGe at its relaxed geometry (PBE, OQMD).

Properties
* theoretical density: 4.02 Mg/m³

Cell: 7.173 7.173 7.173 Å, 90.00 90.00 90.00°
Space group F-43m (No. 216)
One atom of each set of equivalent atoms:
Rb: 0.000 0.000 0.000
Zn: 0.250 0.250 0.750
Ge: 0.000 0.000 0.500

(2)
# RbZnGe

Crystalline RbZnGe at its relaxed geometry (PBE, OQMD).

Properties
* theoretical density: 3.20 Mg/m³

Cell: 7.741 7.741 7.741 Å, 90.00 90.00 90.00°
Space group F-43m (No. 216)
One atom of each set of equivalent atoms:
Rb: 0.000 0.000 0.000
Zn: 0.250 0.250 0.250
Ge: 0.250 0.250 0.750

Stability ranking, top entry: (1); the second entry is 479 meV/atom less favorable.

(1)
# ScReGe2

Crystalline ScReGe2 at its relaxed geometry (PBE, OQMD).

Properties
* theoretical density: 9.12 Mg/m³

Cell: 6.496 6.496 6.496 Å, 90.00 90.00 90.00°
Space group F-43m (No. 216)
One atom of each set of equivalent atoms:
Sc: 0.000 0.000 0.000
Re: 0.250 0.250 0.250
Ge: 0.000 0.000 0.500
Ge: 0.250 0.250 0.750

(2)
# ScReGe2

Crystalline ScReGe2 at its relaxed geometry (PBE, OQMD).

Properties
* theoretical density: 9.30 Mg/m³

Cell: 9.444 10.197 8.376 Å, 90.00 90.00 90.00°
Space group Pbam (No. 55)
One atom of each set of equivalent atoms:
Sc: 0.166 0.178 0.000
Sc: 0.170 0.452 0.244
Re: 0.000 0.000 0.243
Re: 0.079 0.749 0.249
Ge: 0.037 0.620 0.500
Ge: 0.041 0.618 0.000
Ge: 0.135 0.913 0.500
Ge: 0.142 0.902 0.000
Ge: 0.173 0.181 0.347

Stability ranking, top entry: (2); the second entry is 687 meV/atom less favorable.

(1)
# TaReGe

Crystalline TaReGe at its relaxed geometry (PBE, OQMD).

Properties
* theoretical density: 12.66 Mg/m³

Cell: 6.134 6.134 6.134 Å, 90.00 90.00 90.00°
Space group F-43m (No. 216)
One atom of each set of equivalent atoms:
Ta: 0.000 0.000 0.000
Re: 0.250 0.250 0.250
Ge: 0.250 0.250 0.750

(2)
# TaReGe

Crystalline TaReGe at its relaxed geometry (PBE, OQMD).

Properties
* theoretical density: 12.95 Mg/m³

Cell: 6.087 6.087 6.087 Å, 90.00 90.00 90.00°
Space group F-43m (No. 216)
One atom of each set of equivalent atoms:
Ta: 0.000 0.000 0.000
Re: 0.250 0.250 0.750
Ge: 0.000 0.000 0.500

Stability ranking, top entry: (2); the second entry is 274 meV/atom less favorable.

(1)
# Zn3GeSe2S2

Crystalline Zn3GeSe2S2 at its relaxed geometry (PBE, OQMD).

Properties
* theoretical density: 4.41 Mg/m³

Cell: 12.477 5.463 5.841 Å, 90.00 111.63 90.00°
Space group C2 (No. 5)
One atom of each set of equivalent atoms:
Zn: 0.000 0.000 0.000
Zn: 0.246 0.994 0.755
Ge: 0.000 0.429 0.500
Se: 0.122 0.758 0.376
S: 0.141 0.238 0.929

(2)
# Zn3GeSe2S2

Crystalline Zn3GeSe2S2 at its relaxed geometry (PBE, OQMD).

Properties
* theoretical density: 4.32 Mg/m³

Cell: 7.870 8.510 11.262 Å, 90.00 90.00 90.00°
Space group Fmm2 (No. 42)
One atom of each set of equivalent atoms:
Zn: 0.000 0.000 0.000
Zn: 0.250 0.250 0.266
Ge: 0.000 0.000 0.495
Se: 0.240 0.000 0.144
S: 0.000 0.224 0.880

Stability ranking, top entry: (1); the second entry is 10 meV/atom less favorable.

(1)
# SmGeSb

Crystalline SmGeSb at its relaxed geometry (PBE, OQMD).

Properties
* theoretical density: 6.25 Mg/m³

Cell: 7.157 7.157 7.157 Å, 90.00 90.00 90.00°
Space group F-43m (No. 216)
One atom of each set of equivalent atoms:
Sm: 0.000 0.000 0.000
Ge: 0.000 0.000 0.500
Sb: 0.250 0.250 0.750

(2)
# SmGeSb

Crystalline SmGeSb at its relaxed geometry (PBE, OQMD).

Properties
* theoretical density: 6.25 Mg/m³

Cell: 7.155 7.155 7.155 Å, 90.00 90.00 90.00°
Space group F-43m (No. 216)
One atom of each set of equivalent atoms:
Sm: 0.000 0.000 0.000
Ge: 0.250 0.250 0.750
Sb: 0.250 0.250 0.250

Stability ranking, top entry: (1); the second entry is 10 meV/atom less favorable.

(1)
# TcGeSb

Crystalline TcGeSb at its relaxed geometry (PBE, OQMD).

Properties
* theoretical density: 8.74 Mg/m³

Cell: 9.554 3.330 8.040 Å, 90.00 119.68 90.00°
Space group Cm (No. 8)
One atom of each set of equivalent atoms:
Tc: 0.000 0.000 0.000
Tc: 0.194 0.500 0.602
Ge: 0.190 0.500 0.254
Ge: 0.254 0.000 0.914
Sb: 0.450 0.000 0.695
Sb: 0.489 0.500 0.331

(2)
# TcGeSb

Crystalline TcGeSb at its relaxed geometry (PBE, OQMD).

Properties
* theoretical density: 7.95 Mg/m³

Cell: 6.251 6.251 6.251 Å, 90.00 90.00 90.00°
Space group F-43m (No. 216)
One atom of each set of equivalent atoms:
Tc: 0.000 0.000 0.000
Ge: 0.250 0.250 0.250
Sb: 0.250 0.250 0.750

Stability ranking, top entry: (1); the second entry is 334 meV/atom less favorable.

(1)
# ZrGeSb

Crystalline ZrGeSb at its relaxed geometry (PBE, OQMD).

Properties
* theoretical density: 6.09 Mg/m³

Cell: 6.779 6.779 6.779 Å, 90.00 90.00 90.00°
Space group F-43m (No. 216)
One atom of each set of equivalent atoms:
Zr: 0.000 0.000 0.000
Ge: 0.250 0.250 0.750
Sb: 0.250 0.250 0.250

(2)
# ZrGeSb

Crystalline ZrGeSb at its relaxed geometry (PBE, OQMD).

Properties
* theoretical density: 6.35 Mg/m³

Cell: 6.685 6.685 6.685 Å, 90.00 90.00 90.00°
Space group F-43m (No. 216)
One atom of each set of equivalent atoms:
Zr: 0.000 0.000 0.000
Ge: 0.250 0.250 0.750
Sb: 0.000 0.000 0.500

Stability ranking, top entry: (1); the second entry is 112 meV/atom less favorable.

(1)
# SmScGe

Crystalline SmScGe at its relaxed geometry (PBE, OQMD).

Properties
* theoretical density: 5.64 Mg/m³

Cell: 6.809 6.809 6.809 Å, 90.00 90.00 90.00°
Space group F-43m (No. 216)
One atom of each set of equivalent atoms:
Sm: 0.000 0.000 0.000
Sc: 0.250 0.250 0.750
Ge: 0.000 0.000 0.500

(2)
# SmScGe

Crystalline SmScGe at its relaxed geometry (PBE, OQMD).

Properties
* theoretical density: 5.33 Mg/m³

Cell: 6.940 6.940 6.940 Å, 90.00 90.00 90.00°
Space group F-43m (No. 216)
One atom of each set of equivalent atoms:
Sm: 0.000 0.000 0.000
Sc: 0.250 0.250 0.250
Ge: 0.250 0.250 0.750

Stability ranking, top entry: (1); the second entry is 153 meV/atom less favorable.